Arrangement i

# MnIrCl2 meta-GGA SCAN single point on PBEsol structure
# D(E_F)   2.37 states/eV/cell
data_MnIrCl2
_chemical_formula_sum 'Mn1 Ir1 Cl2'
_symmetry_space_group_name_H-M 'P 1'
_symmetry_Int_Tables_number 1
_cell_length_a 3.2249
_cell_length_b 4.3324
_cell_length_c 4.3324
_cell_angle_alpha 90.00
_cell_angle_beta 90.00
_cell_angle_gamma 90.00
loop_
_symmetry_equiv_pos_as_xyz
'x,y,z'
loop_
_atom_site_label
_atom_site_fract_x
_atom_site_fract_y
_atom_site_fract_z
Cl1 0.0000 0.0000 0.5000
Cl2 0.0000 0.5000 0.0000
Ir1 0.5000 0.5000 0.5000
Mn1 0.5000 0.0000 0.0000

=====

Arrangement ii

# MnIrCl2 meta-GGA SCAN single point on PBEsol structure
# D(E_F)   1.22 states/eV/cell
data_MnIrCl2
_chemical_formula_sum 'Mn1 Ir1 Cl2'
_symmetry_space_group_name_H-M 'P 1'
_symmetry_Int_Tables_number 1
_cell_length_a 3.3262
_cell_length_b 3.4472
_cell_length_c 6.8846
_cell_angle_alpha 90.00
_cell_angle_beta 98.95
_cell_angle_gamma 90.00
loop_
_symmetry_equiv_pos_as_xyz
'x,y,z'
loop_
_atom_site_label
_atom_site_fract_x
_atom_site_fract_y
_atom_site_fract_z
Ir1 0.7108 0.0000 0.5699
Mn1 0.2531 0.5000 0.6999
Cl1 0.5766 0.5000 0.3211
Cl2 0.9595 0.0000 0.9091

=====

Least stable: arrangement i

=====

Arrangement i

# MnIrCl2 meta-GGA SCAN single point on PBEsol structure
# D(E_F)   1.88 states/eV/cell
data_MnIrCl2
_chemical_formula_sum 'Mn1 Ir1 Cl2'
_symmetry_space_group_name_H-M 'P 1'
_symmetry_Int_Tables_number 1
_cell_length_a 2.8919
_cell_length_b 2.8919
_cell_length_c 9.4406
_cell_angle_alpha 90.00
_cell_angle_beta 90.00
_cell_angle_gamma 90.00
loop_
_symmetry_equiv_pos_as_xyz
'x,y,z'
loop_
_atom_site_label
_atom_site_fract_x
_atom_site_fract_y
_atom_site_fract_z
Cl1 0.0000 0.0000 0.3349
Cl2 0.0000 0.0000 0.6651
Ir1 0.5000 0.5000 0.0000
Mn1 0.5000 0.5000 0.5000

=====

Arrangement ii

# MnIrCl2 meta-GGA SCAN single point on PBEsol structure
# D(E_F)   1.67 states/eV/cell
data_MnIrCl2
_chemical_formula_sum 'Mn1 Ir1 Cl2'
_symmetry_space_group_name_H-M 'P 1'
_symmetry_Int_Tables_number 1
_cell_length_a 3.2037
_cell_length_b 4.9763
_cell_length_c 4.9763
_cell_angle_alpha 108.56
_cell_angle_beta 107.36
_cell_angle_gamma 107.36
loop_
_symmetry_equiv_pos_as_xyz
'x,y,z'
loop_
_atom_site_label
_atom_site_fract_x
_atom_site_fract_y
_atom_site_fract_z
Cl1 0.0000 0.0000 0.5000
Cl2 0.0000 0.5000 0.0000
Mn1 0.0000 0.5000 0.5000
Ir1 0.0000 0.0000 0.0000

=====

Least stable: arrangement i

=====

Arrangement i

# MnIr2Cl meta-GGA SCAN single point on PBEsol structure
# D(E_F)   2.52 states/eV/cell
data_MnIr2Cl
_chemical_formula_sum 'Mn1 Ir2 Cl1'
_symmetry_space_group_name_H-M 'P 1'
_symmetry_Int_Tables_number 1
_cell_length_a 2.7538
_cell_length_b 4.4846
_cell_length_c 4.7035
_cell_angle_alpha 90.00
_cell_angle_beta 90.00
_cell_angle_gamma 90.00
loop_
_symmetry_equiv_pos_as_xyz
'x,y,z'
loop_
_atom_site_label
_atom_site_fract_x
_atom_site_fract_y
_atom_site_fract_z
Mn1 0.5000 0.5000 0.0000
Cl1 0.0000 0.5000 0.5000
Ir1 0.5000 0.0000 0.5000
Ir2 0.0000 0.0000 0.0000

=====

Arrangement ii

# MnIr2Cl meta-GGA SCAN single point on PBEsol structure
# D(E_F)   2.76 states/eV/cell
data_MnIr2Cl
_chemical_formula_sum 'Mn1 Ir2 Cl1'
_symmetry_space_group_name_H-M 'P 1'
_symmetry_Int_Tables_number 1
_cell_length_a 2.8039
_cell_length_b 3.5186
_cell_length_c 6.4277
_cell_angle_alpha 90.00
_cell_angle_beta 90.00
_cell_angle_gamma 90.00
loop_
_symmetry_equiv_pos_as_xyz
'x,y,z'
loop_
_atom_site_label
_atom_site_fract_x
_atom_site_fract_y
_atom_site_fract_z
Ir1 0.5000 0.0000 0.9573
Ir2 0.0000 0.5000 0.7605
Mn1 0.5000 0.0000 0.5355
Cl1 0.5000 0.5000 0.2467

=====

Least stable: arrangement i

=====

Arrangement i

# MnIr2Cl meta-GGA SCAN single point on PBEsol structure
# D(E_F)   3.55 states/eV/cell
data_MnIr2Cl
_chemical_formula_sum 'Mn1 Ir2 Cl1'
_symmetry_space_group_name_H-M 'P 1'
_symmetry_Int_Tables_number 1
_cell_length_a 4.3062
_cell_length_b 4.3062
_cell_length_c 4.3062
_cell_angle_alpha 60.00
_cell_angle_beta 60.00
_cell_angle_gamma 60.00
loop_
_symmetry_equiv_pos_as_xyz
'x,y,z'
loop_
_atom_site_label
_atom_site_fract_x
_atom_site_fract_y
_atom_site_fract_z
Ir1 0.2500 0.2500 0.2500
Ir2 0.7500 0.7500 0.7500
Cl1 0.0000 0.0000 0.0000
Mn1 0.5000 0.5000 0.5000

=====

Arrangement ii

# MnIr2Cl meta-GGA SCAN single point on PBEsol structure
# D(E_F)   2.72 states/eV/cell
data_MnIr2Cl
_chemical_formula_sum 'Mn1 Ir2 Cl1'
_symmetry_space_group_name_H-M 'P 1'
_symmetry_Int_Tables_number 1
_cell_length_a 4.3400
_cell_length_b 4.3407
_cell_length_c 4.3400
_cell_angle_alpha 120.00
_cell_angle_beta 90.00
_cell_angle_gamma 120.00
loop_
_symmetry_equiv_pos_as_xyz
'x,y,z'
loop_
_atom_site_label
_atom_site_fract_x
_atom_site_fract_y
_atom_site_fract_z
Ir1 0.0000 0.0000 0.0000
Ir2 0.7500 0.5000 0.2500
Mn1 0.5000 0.0000 0.5000
Cl1 0.2500 0.5000 0.7500

=====

Arrangement iii

# MnIr2Cl meta-GGA SCAN single point on PBEsol structure
# D(E_F)   3.53 states/eV/cell
data_MnIr2Cl
_chemical_formula_sum 'Mn1 Ir2 Cl1'
_symmetry_space_group_name_H-M 'P 1'
_symmetry_Int_Tables_number 1
_cell_length_a 2.7535
_cell_length_b 2.7618
_cell_length_c 8.8426
_cell_angle_alpha 90.00
_cell_angle_beta 90.00
_cell_angle_gamma 119.90
loop_
_symmetry_equiv_pos_as_xyz
'x,y,z'
loop_
_atom_site_label
_atom_site_fract_x
_atom_site_fract_y
_atom_site_fract_z
Mn1 0.5000 0.0000 0.5000
Ir1 0.0000 0.0000 0.2689
Ir2 0.0000 0.0000 0.7311
Cl1 0.5000 0.0000 0.0000

=====

Least stable: arrangement i